No. 1
First-principles (GGA-PBE) data for crystalline NbSNF2 at its relaxed geometry, as listed in Alexandria via LeMat-Bulk.

Geometry as CIF:
```
data_NbSNF2
_chemical_formula_sum 'Nb1 S1 N1 F2'
_cell_length_a 4.0703
_cell_length_b 4.0703
_cell_length_c 4.1634
_cell_angle_alpha 90.00
_cell_angle_beta 90.00
_cell_angle_gamma 90.00
_symmetry_space_group_name_H-M 'P 4/m m m'
_symmetry_Int_Tables_number 123
_symmetry_space_group_name_Hall '-P 4 2'
loop_
_atom_site_label
_atom_site_type_symbol
_atom_site_fract_x
_atom_site_fract_y
_atom_site_fract_z
Nb1 Nb 0.0000 0.0000 0.0000
S1 S 0.5000 0.5000 0.5000
N1 N 0.0000 0.0000 0.5000
F1 F 0.0000 0.5000 0.0000
```

Computed properties:
As for the crystal system: tetragonal. Its uncorrected formation energy is -761 meV/atom. The mass density is 4.260 g/cm³. The density of states at the Fermi level comes out at 3.613 states/eV/cell. The value obtained for the total magnetic moment is 0.00 μB/f.u.

No. 2
First-principles (GGA-PBE) data for crystalline IrBr at its relaxed geometry, as listed in Alexandria via LeMat-Bulk.

Geometry as CIF:
```
data_IrBr
_chemical_formula_sum 'Ir6 Br6'
_cell_length_a 4.2067
_cell_length_b 4.2067
_cell_length_c 20.1335
_cell_angle_alpha 90.00
_cell_angle_beta 90.00
_cell_angle_gamma 120.00
_symmetry_space_group_name_H-M 'R -3 m'
_symmetry_Int_Tables_number 166
_symmetry_space_group_name_Hall '-R 3 2"'
loop_
_atom_site_label
_atom_site_type_symbol
_atom_site_fract_x
_atom_site_fract_y
_atom_site_fract_z
Ir1 Ir 0.0000 0.0000 0.1665
Br1 Br 0.0000 0.0000 0.4072
```

Computed properties:
As for the crystal system: trigonal. Its uncorrected formation energy is 954 meV/atom. The mass density is 8.787 g/cm³. The density of states at the Fermi level comes out at 11.493 states/eV/cell. The value obtained for the total magnetic moment is 0.00 μB/f.u.

No. 3
First-principles (GGA-PBE) data for crystalline AcLaPaPb at its relaxed geometry, as listed in Alexandria via LeMat-Bulk.

Geometry as CIF:
```
data_AcLaPaPb
_chemical_formula_sum 'Ac4 La4 Pa4 Pb4'
_cell_length_a 8.0783
_cell_length_b 8.0783
_cell_length_c 8.0783
_cell_angle_alpha 90.00
_cell_angle_beta 90.00
_cell_angle_gamma 90.00
_symmetry_space_group_name_H-M 'F -4 3 m'
_symmetry_Int_Tables_number 216
_symmetry_space_group_name_Hall 'F -4 2 3'
loop_
_atom_site_label
_atom_site_type_symbol
_atom_site_fract_x
_atom_site_fract_y
_atom_site_fract_z
Ac1 Ac 0.0000 0.0000 0.0000
La1 La 0.0000 0.0000 0.5000
Pa1 Pa 0.2500 0.2500 0.7500
Pb1 Pb 0.2500 0.2500 0.2500
```

Computed properties:
The value obtained for the formation energy is 231 meV per atom. As for the crystal system: cubic. The mass density is 10.132 g/cm³. The density of states at the Fermi level comes out at 42.697 states/eV/cell. The value obtained for the total magnetic moment is 2.03 μB/f.u.

No. 4
First-principles (GGA-PBE) data for crystalline Ca2SbRu at its relaxed geometry, as listed in Alexandria via LeMat-Bulk.

Geometry as CIF:
```
data_Ca2SbRu
_chemical_formula_sum 'Ca6 Sb3 Ru3'
_cell_length_a 4.6541
_cell_length_b 4.6541
_cell_length_c 16.8156
_cell_angle_alpha 90.00
_cell_angle_beta 90.00
_cell_angle_gamma 120.00
_symmetry_space_group_name_H-M 'R 3 m'
_symmetry_Int_Tables_number 160
_symmetry_space_group_name_Hall 'R 3 -2"'
loop_
_atom_site_label
_atom_site_type_symbol
_atom_site_fract_x
_atom_site_fract_y
_atom_site_fract_z
Ca1 Ca 0.0000 0.0000 0.0000
Ca2 Ca 0.0000 0.0000 0.1992
Sb1 Sb 0.0000 0.0000 0.4295
Ru1 Ru 0.0000 0.0000 0.7724
```

Computed properties:
As for the crystal system: trigonal. Its uncorrected formation energy is -309 meV/atom. The mass density is 4.786 g/cm³. The density of states at the Fermi level comes out at 7.463 states/eV/cell. The value obtained for the total magnetic moment is 0.00 μB/f.u.